[1]
Sc5Tl4Cd: optimized geometry, GGA-PBE.

a b c (Å): 3.5792 3.5792 18.0568
angles (deg): 90.00 90.00 90.00
With the nearest neighbours (Å) after each atom.
Fractional coordinates of all 10 atoms:
Sc 0.5000 0.5000 0.0954  4 Cd 3.06, 4 Tl 3.10
Sc 0.5000 0.5000 0.2970  8 Tl 3.13
Sc 0.5000 0.5000 0.5000  8 Tl 3.12
Sc 0.5000 0.5000 0.7030  8 Tl 3.13
Sc 0.5000 0.5000 0.9046  4 Cd 3.06, 4 Tl 3.10
Tl 0.0000 0.0000 0.1946  8 Sc 3.10-3.13
Tl 0.0000 0.0000 0.3985  8 Sc 3.12-3.13
Tl 0.0000 0.0000 0.6015  8 Sc 3.12-3.13
Tl 0.0000 0.0000 0.8054  8 Sc 3.10-3.13
Cd 0.0000 0.0000 0.0000  8 Sc 3.06

Size of the total moment in μB per cell: 0.01
Symmetry: P4/mmm, No. 123
E in eV per atom: -4.4712


[2]
Sc4TlCd3: optimized geometry, GGA-PBE.

a b c (Å): 3.5538 3.5538 14.2100
angles (deg): 90.00 90.00 90.00
With the nearest neighbours (Å) after each atom.
Fractional coordinates of all 8 atoms:
Sc 0.0000 0.0000 0.8702  4 Cd 3.08, 4 Tl 3.12
Sc 0.0000 0.0000 0.1298  4 Cd 3.08, 4 Tl 3.12
Sc 0.0000 0.0000 0.3757  8 Cd 3.04-3.07
Sc 0.0000 0.0000 0.6243  8 Cd 3.04-3.07
Tl 0.5000 0.5000 0.0000  8 Sc 3.12
Cd 0.5000 0.5000 0.2551  8 Sc 3.04-3.08
Cd 0.5000 0.5000 0.5000  8 Sc 3.07
Cd 0.5000 0.5000 0.7449  8 Sc 3.04-3.08

Size of the total moment in μB per cell: 0.43
Symmetry: P4/mmm, No. 123
E in eV per atom: -4.0925


[3]
Sc2TlCd: optimized geometry, GGA-PBE.

a b c (Å): 5.0418 5.0419 5.0350
angles (deg): 60.04 60.04 59.91
With the nearest neighbours (Å) after each atom.
Fractional coordinates of all 4 atoms:
Sc 0.0000 0.0001 0.0000  4 Tl 3.09, 4 Cd 3.09
Sc 0.4999 0.4999 0.5000  4 Tl 3.09, 4 Cd 3.09
Tl 0.7500 0.7500 0.7500  8 Sc 3.09
Cd 0.2500 0.2500 0.2500  8 Sc 3.09

Size of the total moment in μB per cell: 0.64
Symmetry: I4/mmm, No. 139
E in eV per atom: -4.2772


[4]
Sc4TlCd2: optimized geometry, GGA-PBE.

a b c (Å): 4.9555 4.9555 8.4915
angles (deg): 73.03 73.03 60.00
With the nearest neighbours (Å) after each atom.
Fractional coordinates of all 7 atoms:
Sc 0.8695 0.8695 0.3915  4 Cd 2.90-3.09, 1 Tl 3.13
Sc 0.1305 0.1305 0.6085  4 Cd 2.90-3.09, 1 Tl 3.13
Sc 0.6147 0.6147 0.1559  4 Cd 2.95-3.21, 3 Tl 3.12
Sc 0.3853 0.3853 0.8441  4 Cd 2.95-3.21, 3 Tl 3.12
Tl 0.0000 0.0000 0.0000  8 Sc 3.12-3.13, 6 Cd 3.47
Cd 0.7486 0.7486 0.7543  8 Sc 2.90-3.21
Cd 0.2514 0.2514 0.2457  8 Sc 2.90-3.21

Size of the total moment in μB per cell: 0.28
Symmetry: R-3m, No. 166
Excess energy over the best structure of this formula in the dataset in kcal/mol of atoms: 0.000
E in eV per atom: -4.3020


[5]
Sc6TlCd3: optimized geometry, GGA-PBE.

a b c (Å): 4.9979 8.8018 10.8603
angles (deg): 106.48 90.00 90.00
With the nearest neighbours (Å) after each atom.
Fractional coordinates of all 20 atoms:
Sc 0.2500 0.4539 0.0887  6 Cd 3.01-3.15, 2 Sc 3.22-3.28
Sc 0.7500 0.5461 0.9113  6 Cd 3.01-3.15, 2 Sc 3.22-3.28
Sc 0.2500 0.1368 0.1813  8 Sc 3.07-3.32, 3 Cd 3.24-3.35
Sc 0.7500 0.8632 0.8187  8 Sc 3.07-3.32, 3 Cd 3.24-3.35
Sc 0.2500 0.6506 0.6799  5 Cd 2.93-3.13, 1 Tl 2.94, 2 Sc 3.23
Sc 0.7500 0.3494 0.3201  5 Cd 2.93-3.13, 1 Tl 2.94, 2 Sc 3.23
Sc 0.2500 0.2501 0.4998  4 Cd 3.02-3.21, 3 Tl 3.10-3.19, 1 Sc 3.32
Sc 0.7500 0.7499 0.5002  4 Cd 3.02-3.21, 3 Tl 3.10-3.19, 1 Sc 3.32
Sc 0.2500 0.8351 0.2984  4 Cd 3.07-3.41, 3 Tl 3.12-3.26, 3 Sc 3.25-3.40
Sc 0.7500 0.1649 0.7016  4 Cd 3.07-3.41, 3 Tl 3.12-3.26, 3 Sc 3.25-3.40
Sc 0.2500 0.0954 0.8906  1 Tl 2.94, 4 Cd 2.96-3.21, 4 Sc 3.07-3.28
Sc 0.7500 0.9046 0.1094  1 Tl 2.94, 4 Cd 2.96-3.21, 4 Sc 3.07-3.28
Tl 0.2500 0.9507 0.6109  8 Sc 2.94-3.26
Tl 0.7500 0.0493 0.3891  8 Sc 2.94-3.26
Cd 0.2500 0.5283 0.3800  8 Sc 2.93-3.21
Cd 0.7500 0.4717 0.6200  8 Sc 2.93-3.21
Cd 0.2500 0.3788 0.7891  8 Sc 2.96-3.13
Cd 0.7500 0.6212 0.2109  8 Sc 2.96-3.13
Cd 0.2500 0.7737 0.9741  8 Sc 2.96-3.24
Cd 0.7500 0.2263 0.0259  8 Sc 2.96-3.24

Size of the total moment in μB per cell: 2.23
Symmetry: P2_1/m, No. 11
E in eV per atom: -4.5243


[6]
Sc2TlCd: optimized geometry, GGA-PBE.

a b c (Å): 6.0799 6.0799 4.9622
angles (deg): 66.39 66.39 33.89
With the nearest neighbours (Å) after each atom.
Fractional coordinates of all 4 atoms:
Sc 0.9946 0.9946 0.0089  4 Tl 3.05-3.06, 2 Cd 3.18, 2 Sc 3.23
Sc 0.7505 0.7505 0.7463  4 Cd 3.04-3.06, 2 Sc 3.23, 2 Tl 3.27
Tl 0.5108 0.5108 0.4941  2 Cd 3.04, 6 Sc 3.05-3.27
Cd 0.2441 0.2441 0.2507  2 Tl 3.04, 6 Sc 3.04-3.18

Size of the total moment in μB per cell: 0.00
Symmetry: Cm, No. 8
E in eV per atom: -4.1854